{"formula": "AcLa2Si", "functional": "GGA-PBE", "state": "relaxed", "e_form_raw_ev_per_fu": -0.8, "polymorph_energy_ev_per_atom": 0.1550, "lattice_angstrom": [[-2.0919, 4.1254, 1.9606], [-4.4515, -2.0553, -0.4250], [0.4531, -1.9141, 4.5112]], "species": ["La", "La", "Ac", "Si"], "frac_coords": [[0.0000, 0.0000, 0.5000], [0.0000, 0.5000, 0.0000], [0.5000, 0.0000, 0.0000], [0.5000, 0.5000, 0.5000]]}